# 1
# YAgW2 (PBE, relaxed)
data_YAgW2
_cell_length_a 10.574
_cell_length_b 10.574
_cell_length_c 10.574
_cell_angle_alpha 15.65
_cell_angle_beta 15.65
_cell_angle_gamma 15.65
_space_group_name_H-M_alt 'P 1'
_space_group_IT_number 1
_space_group_name_Hall 'P 1'
loop_
_atom_site_label
_atom_site_type_symbol
_atom_site_fract_x
_atom_site_fract_y
_atom_site_fract_z
Y1 Y 0.250 0.250 0.250
Ag1 Ag 0.750 0.750 0.750
W1 W 0.494 0.494 0.494
W2 W 0.006 0.006 0.006
# ρ	12.51	Mg/m³
# space group	R-3m

---

# 2
# YAgW2 (PBE, relaxed)
data_YAgW2
_cell_length_a 2.789
_cell_length_b 4.992
_cell_length_c 5.576
_cell_angle_alpha 90.00
_cell_angle_beta 90.00
_cell_angle_gamma 90.00
_space_group_name_H-M_alt 'P 1'
_space_group_IT_number 1
_space_group_name_Hall 'P 1'
loop_
_atom_site_label
_atom_site_type_symbol
_atom_site_fract_x
_atom_site_fract_y
_atom_site_fract_z
Y1 Y 0.500 0.500 0.250
W1 W 0.000 0.000 0.014
W2 W 0.000 0.000 0.486
Ag1 Ag 0.500 0.500 0.750
# ρ	12.07	Mg/m³
# space group	Pmmm

---

# 3
# YAgW2 (PBE, relaxed)
data_YAgW2
_cell_length_a 5.396
_cell_length_b 5.396
_cell_length_c 5.396
_cell_angle_alpha 140.54
_cell_angle_beta 126.15
_cell_angle_gamma 68.77
_space_group_name_H-M_alt 'P 1'
_space_group_IT_number 1
_space_group_name_Hall 'P 1'
loop_
_atom_site_label
_atom_site_type_symbol
_atom_site_fract_x
_atom_site_fract_y
_atom_site_fract_z
Ag1 Ag 0.759 0.259 0.500
W1 W 0.029 0.029 0.000
W2 W 0.224 0.724 0.500
Y1 Y 0.488 0.488 0.000
# ρ	11.82	Mg/m³
# space group	Imm2

---

# 4
# YAgW2 (PBE, relaxed)
data_YAgW2
_cell_length_a 2.812
_cell_length_b 2.812
_cell_length_c 9.422
_cell_angle_alpha 90.00
_cell_angle_beta 90.00
_cell_angle_gamma 90.10
_space_group_name_H-M_alt 'P 1'
_space_group_IT_number 1
_space_group_name_Hall 'P 1'
loop_
_atom_site_label
_atom_site_type_symbol
_atom_site_fract_x
_atom_site_fract_y
_atom_site_fract_z
W1 W 0.000 0.000 0.983
W2 W 0.000 0.000 0.517
Ag1 Ag 0.500 0.500 0.750
Y1 Y 0.500 0.500 0.250
# ρ	12.58	Mg/m³
# space group	P4/mmm

---

# 5
# Y2AgW (PBE, relaxed)
data_Y2AgW
_cell_length_a 3.863
_cell_length_b 3.863
_cell_length_c 6.287
_cell_angle_alpha 90.00
_cell_angle_beta 90.00
_cell_angle_gamma 90.00
_space_group_name_H-M_alt 'P 1'
_space_group_IT_number 1
_space_group_name_Hall 'P 1'
loop_
_atom_site_label
_atom_site_type_symbol
_atom_site_fract_x
_atom_site_fract_y
_atom_site_fract_z
Ag1 Ag 0.000 0.000 0.495
Y1 Y 0.500 0.500 0.282
Y2 Y 0.000 0.000 0.952
W1 W 0.500 0.500 0.771
# ρ	8.31	Mg/m³
# space group	P4mm

---

# 6
# YAgW2 (PBE, relaxed)
data_YAgW2
_cell_length_a 5.895
_cell_length_b 5.895
_cell_length_c 5.895
_cell_angle_alpha 149.14
_cell_angle_beta 132.70
_cell_angle_gamma 57.55
_space_group_name_H-M_alt 'P 1'
_space_group_IT_number 1
_space_group_name_Hall 'P 1'
loop_
_atom_site_label
_atom_site_type_symbol
_atom_site_fract_x
_atom_site_fract_y
_atom_site_fract_z
Y1 Y 0.250 0.750 0.500
W1 W 0.990 0.990 0.000
W2 W 0.510 0.510 0.000
Ag1 Ag 0.750 0.250 0.500
# ρ	12.23	Mg/m³
# space group	Immm

---

# 7
# YAgW (PBE, relaxed)
data_YAgW
_cell_length_a 4.647
_cell_length_b 4.647
_cell_length_c 4.647
_cell_angle_alpha 60.00
_cell_angle_beta 60.00
_cell_angle_gamma 60.00
_space_group_name_H-M_alt 'P 1'
_space_group_IT_number 1
_space_group_name_Hall 'P 1'
loop_
_atom_site_label
_atom_site_type_symbol
_atom_site_fract_x
_atom_site_fract_y
_atom_site_fract_z
Ag1 Ag 0.750 0.750 0.750
W1 W 0.000 0.000 0.000
Y1 Y 0.500 0.500 0.500
# ρ	8.91	Mg/m³
# space group	F-43m

---

# 8
# Y2AgW (PBE, relaxed)
data_Y2AgW
_cell_length_a 5.820
_cell_length_b 5.820
_cell_length_c 5.389
_cell_angle_alpha 74.77
_cell_angle_beta 74.77
_cell_angle_gamma 31.61
_space_group_name_H-M_alt 'P 1'
_space_group_IT_number 1
_space_group_name_Hall 'P 1'
loop_
_atom_site_label
_atom_site_type_symbol
_atom_site_fract_x
_atom_site_fract_y
_atom_site_fract_z
Ag1 Ag 0.529 0.529 0.531
Y1 Y 0.773 0.773 0.693
Y2 Y 0.972 0.972 0.069
W1 W 0.226 0.226 0.207
# ρ	8.47	Mg/m³
# space group	Cm

---

For the records above, the corresponding E above lowest polymorph values read 510 417 241 363 340 254 658 102 meV/atom.